Compound: Er4TlTe2
Source: Alexandria
Functional: GGA-PBE
Structure: relaxed

Lattice parameters (Å, degrees): 8.181 8.181 8.181 108.91 108.91 110.60
Fractional coordinates of all 14 atoms:
Er: 0.018 0.751 0.653
Er: 0.098 0.365 0.347
Er: 0.115 0.268 0.767
Er: 0.249 0.982 0.347
Er: 0.501 0.348 0.233
Er: 0.635 0.902 0.653
Er: 0.652 0.499 0.767
Er: 0.732 0.885 0.233
Tl: 0.000 0.000 0.000
Tl: 0.750 0.250 0.500
Te: 0.334 0.625 0.209
Te: 0.375 0.666 0.791
Te: 0.416 0.125 0.791
Te: 0.875 0.584 0.209

magnetic moment: 0.00 μB/f.u.
symmetry: I4_122 (98)

=====

Compound: Er7Tl2Te2
Source: Alexandria
Functional: GGA-PBE
Structure: relaxed

Lattice parameters (Å, degrees): 6.962 6.962 7.240 98.01 98.01 75.21
Fractional coordinates of all 11 atoms:
Er: 0.000 0.000 0.000
Er: 0.033 0.432 0.274
Er: 0.432 0.033 0.274
Er: 0.489 0.489 0.731
Er: 0.511 0.511 0.269
Er: 0.568 0.967 0.726
Er: 0.967 0.568 0.726
Tl: 0.180 0.820 0.500
Tl: 0.820 0.180 0.500
Te: 0.278 0.278 0.948
Te: 0.722 0.722 0.052

relative energy among the computed polymorphs: 266 meV per atom
magnetic moment: 0.00 μB/f.u.
symmetry: C2/m (12)

=====

Compound: Er5TlTe8
Source: Alexandria
Functional: GGA-PBE
Structure: relaxed

Lattice parameters (Å, degrees): 9.127 9.127 9.127 60.00 60.00 60.00
Fractional coordinates of all 14 atoms:
Er: 0.000 0.000 0.000
Er: 0.379 0.379 0.379
Er: 0.379 0.379 0.862
Er: 0.379 0.862 0.379
Er: 0.862 0.379 0.379
Tl: 0.750 0.750 0.750
Te: 0.133 0.133 0.133
Te: 0.133 0.133 0.601
Te: 0.133 0.601 0.133
Te: 0.165 0.612 0.612
Te: 0.601 0.133 0.133
Te: 0.612 0.165 0.612
Te: 0.612 0.612 0.165
Te: 0.612 0.612 0.612

magnetic moment: 0.00 μB/f.u.
symmetry: F-43m (216)

=====

Compound: Er8Tl2Te
Source: Alexandria
Functional: GGA-PBE
Structure: relaxed

Lattice parameters (Å, degrees): 9.363 9.363 6.741 93.37 93.37 32.37
Fractional coordinates of all 11 atoms:
Er: 0.033 0.033 0.249
Er: 0.211 0.211 0.111
Er: 0.332 0.332 0.587
Er: 0.408 0.408 0.072
Er: 0.592 0.592 0.928
Er: 0.668 0.668 0.413
Er: 0.789 0.789 0.889
Er: 0.967 0.967 0.751
Tl: 0.161 0.161 0.668
Tl: 0.839 0.839 0.332
Te: 0.500 0.500 0.500

magnetic moment: 0.00 μB/f.u.
symmetry: C2/m (12)

=====

Compound: Er5Tl2Te
Source: Alexandria
Functional: GGA-PBE
Structure: relaxed

Lattice parameters (Å, degrees): 8.357 12.169 4.522 90.00 90.00 90.00
Fractional coordinates of all 16 atoms:
Er: 0.000 0.000 0.000
Er: 0.162 0.280 0.000
Er: 0.212 0.576 0.500
Er: 0.288 0.076 0.500
Er: 0.338 0.780 0.000
Er: 0.500 0.500 0.000
Er: 0.662 0.220 0.000
Er: 0.712 0.924 0.500
Er: 0.788 0.424 0.500
Er: 0.838 0.720 0.000
Tl: 0.075 0.824 0.500
Tl: 0.425 0.324 0.500
Tl: 0.575 0.676 0.500
Tl: 0.925 0.176 0.500
Te: 0.000 0.500 0.000
Te: 0.500 0.000 0.000

relative energy among the computed polymorphs: 0 meV per atom
magnetic moment: 0.00 μB/f.u.
symmetry: Pbam (55)

=====

Compound: Er4Tl2Te
Source: Alexandria
Functional: GGA-PBE
Structure: relaxed

Lattice parameters (Å, degrees): 6.463 6.537 9.991 90.00 103.58 90.00
Fractional coordinates of all 14 atoms:
Er: 0.021 0.250 0.335
Er: 0.117 0.250 0.955
Er: 0.476 0.001 0.231
Er: 0.476 0.499 0.231
Er: 0.524 0.501 0.769
Er: 0.524 0.999 0.769
Er: 0.883 0.750 0.045
Er: 0.979 0.750 0.665
Tl: 0.305 0.750 0.960
Tl: 0.416 0.750 0.495
Tl: 0.584 0.250 0.505
Tl: 0.695 0.250 0.040
Te: 0.100 0.250 0.653
Te: 0.900 0.750 0.347

magnetic moment: 0.00 μB/f.u.
symmetry: P2_1/m (11)

=====

Number 1: VASP energy -4.58 eV per atom. Number 2: VASP energy -4.22 eV per atom. Number 3: VASP energy -4.76 eV per atom. Number 4: VASP energy -4.37 eV per atom. Number 5: VASP energy -4.32 eV per atom. Number 6: VASP energy -4.16 eV per atom.